(1)
# Ti3NiPt

An optimized crystal structure of Ti3NiPt (PBE, Alexandria).

As for the distance to the lowest polymorph of the same formula: 0 meV per atom. The value obtained for the energy of formation from the pure elements is -0.202 eV per atom.

The structure belongs to space group Cmcm (No. 63); the cell edges are 5.943, 12.140 and 4.686 Å and the angles 90.00°, 90.00° and 90.00°. The distinct sites, in fractional coordinates, are Ti at (0.000, 0.178, 0.250), Ti at (0.242, 0.371, 0.250), Ni at (0.000, 0.000, 0.000) and Pt at (0.000, 0.315, 0.750).

(2)
# CuPbS2N

An optimized crystal structure of CuPbS2N (PBE, Alexandria).

As for the distance to the lowest polymorph of the same formula: 0 meV per atom. The raw formation energy is 0.5994 eV/atom.

The structure belongs to space group P4/mmm (No. 123); the cell edges are 4.832, 4.832 and 3.692 Å and the angles 90.00°, 90.00° and 90.00°. The distinct sites, in fractional coordinates, are Cu at (0.000, 0.000, 0.000), Pb at (0.500, 0.500, 0.500), S at (0.000, 0.500, 0.000) and N at (0.000, 0.000, 0.500).

(3)
# Mn2In2Au

An optimized crystal structure of Mn2In2Au (PBE, Alexandria).

As for the distance to the lowest polymorph of the same formula: 0 meV per atom. The value obtained for the energy of formation from the pure elements is 0.207 eV per atom.

The structure belongs to space group P4/mbm (No. 127); the cell edges are 6.827, 6.827 and 4.109 Å and the angles 90.00°, 90.00° and 90.00°. The distinct sites, in fractional coordinates, are Mn at (0.138, 0.362, 0.000), In at (0.164, 0.664, 0.500) and Au at (0.000, 0.000, 0.000).

(4)
# Zr2NiI

An optimized crystal structure of Zr2NiI (PBE, Alexandria).

As for the distance to the lowest polymorph of the same formula: 254 meV per atom. The raw formation energy is 0.3406 eV/atom.

The structure belongs to space group I-42d (No. 122); the cell edges are 6.194, 6.194 and 11.925 Å and the angles 90.00°, 90.00° and 90.00°. The distinct sites, in fractional coordinates, are Zr at (0.175, 0.250, 0.125), Ni at (0.000, 0.000, 0.000) and I at (0.000, 0.000, 0.500).

(5)
# La2MgFeBi

An optimized crystal structure of La2MgFeBi (PBE, Alexandria).

The value obtained for the energy of formation from the pure elements is -0.316 eV per atom.

The structure belongs to space group P4/mmm (No. 123); the cell edges are 5.133, 5.133 and 5.090 Å and the angles 90.00°, 90.00° and 90.00°. The distinct sites, in fractional coordinates, are La at (0.000, 0.500, 0.000), Mg at (0.000, 0.000, 0.500), Fe at (0.000, 0.000, 0.000) and Bi at (0.500, 0.500, 0.500).

(6)
# CaNpO3

An optimized crystal structure of CaNpO3 (PBE, Alexandria).

The raw formation energy is -2.7862 eV/atom.

The structure belongs to space group P-6m2 (No. 187); the cell edges are 6.0319, 6.0319 and 3.1081 Å and the angles 90.00°, 90.00° and 120.00°. The distinct sites, in fractional coordinates, are Ca at (0.0000, 0.0000, 0.0000), Np at (0.6667, 0.3333, 0.0000) and O at (0.3517, 0.1758, 0.5000).

(7)
# HoEr2Cu

An optimized crystal structure of HoEr2Cu (PBE, Alexandria).

As for the distance to the lowest polymorph of the same formula: 0 meV per atom. The value obtained for the energy of formation from the pure elements is -0.118 eV per atom.

The structure belongs to space group Pnma (No. 62); the cell edges are 6.770, 9.598 and 6.435 Å and the angles 90.00°, 90.00° and 90.00°. The distinct sites, in fractional coordinates, are Ho at (0.017, 0.250, 0.130), Er at (0.191, 0.059, 0.687) and Cu at (0.094, 0.750, 0.450).

(8)
# PmPu2UP4

An optimized crystal structure of PmPu2UP4 (PBE, Alexandria).

The value obtained for the energy of formation from the pure elements is -1.181 eV per atom.

The structure belongs to space group I-4m2 (No. 119); the cell edges are 5.660, 5.660 and 11.354 Å and the angles 90.00°, 90.00° and 90.00°. The distinct sites, in fractional coordinates, are Pm at (0.000, 0.000, 0.000), Pu at (0.000, 0.000, 0.500), Pu at (0.000, 0.500, 0.250), U at (0.000, 0.500, 0.750), P at (0.000, 0.000, 0.254) and P at (0.000, 0.500, 0.505).

N(E_F) (states/eV/atom)
1.3674 0.6792 0.7958 0.6360 0.7853 1.5088 1.1362 3.4102